MnInHg3, relaxed, DFT GGA-PBEsol; ΔE_f = 2.24 eV/f.u.; crystal system = cubic; space-group type = No. 221
1.0
-3.0937 -2.5830 3.1154
0.4216 -4.1058 -2.9854
4.0249 -1.5553 2.7074
Hg In Mn
3 1 1
direct
0.5000 0.0000 0.0000
0.0000 0.5000 0.0000
0.0000 0.0000 0.5000
0.5000 0.5000 0.5000
0.0000 0.0000 0.0000

=====

MnInHg2, relaxed, DFT GGA-PBEsol; ΔE_f = 0.78 eV/f.u.; crystal system = orthorhombic; space-group type = No. 44
1.0
-1.8430 -2.3420 -0.3592
2.6806 -1.5835 -3.4283
2.8092 -1.1878 5.8730
Hg In Mn
2 1 1
direct
0.7465 0.2465 0.4929
0.9460 0.9460 0.8921
0.5552 0.5552 0.1104
0.2523 0.7523 0.5046

=====

InHgMo2, relaxed, DFT GGA-PBEsol; ΔE_f = 1.55 eV/f.u.; crystal system = orthorhombic; space-group type = No. 44; polymorph energy (0 for the lowest one) = 0.065 eV/atom
1.0
3.2948 0.0000 0.0000
0.0000 4.7523 0.0000
-1.6474 -2.3761 4.5795
Mo Hg In
2 1 1
direct
0.0236 0.0236 0.0472
0.7263 0.2263 0.4526
0.4920 0.4920 0.9841
0.2581 0.7581 0.5161

=====

InHgMo2, relaxed, DFT GGA-PBEsol; ΔE_f = 1.29 eV/f.u.; crystal system = trigonal; space-group type = No. 160; polymorph energy (0 for the lowest one) = 0.000 eV/atom
1.0
-2.3203 0.1159 2.0562
-0.3206 -2.2556 2.1059
4.4976 3.9433 7.1934
In Hg Mo
1 1 2
direct
0.2558 0.2558 0.2326
0.4940 0.4940 0.5181
0.0108 0.0108 0.9675
0.7394 0.7394 0.7818

=====

InHgMo2, relaxed, DFT GGA-PBEsol; ΔE_f = 1.61 eV/f.u.; crystal system = monoclinic; space-group type = No. 6; polymorph energy (0 for the lowest one) = 0.080 eV/atom
1.0
2.9053 0.0000 -0.0772
0.0000 4.3151 0.0000
-1.2530 0.0000 5.7242
Mo In Hg
2 1 1
direct
0.9579 0.0000 0.0176
0.8022 0.5000 0.2312
0.2842 0.5000 0.7629
0.4558 0.0000 0.4884

=====

InHgMo2, relaxed, DFT GGA-PBEsol; ΔE_f = 1.93 eV/f.u.; crystal system = orthorhombic; space-group type = No. 47; polymorph energy (0 for the lowest one) = 0.161 eV/atom
1.0
-3.3782 0.1100 0.3890
-0.5248 -0.8342 -4.3209
-0.0463 -4.5464 0.8833
Hg Mo In
1 2 1
direct
0.5000 0.0000 0.5000
0.0000 0.0000 0.0000
0.5000 0.5000 0.0000
0.0000 0.5000 0.5000

=====

InHg2Mo, relaxed, DFT GGA-PBEsol; ΔE_f = 1.34 eV/f.u.; crystal system = monoclinic; space-group type = No. 8
1.0
-2.4166 -1.6766 -0.6351
3.1128 -3.7190 -2.0267
0.0555 0.4800 5.6502
Hg Mo In
2 1 1
direct
0.9854 0.0738 0.9708
0.7476 0.1758 0.4951
0.2524 0.6505 0.5048
0.5146 0.5999 0.0292

=====

InHg2Mo, relaxed, DFT GGA-PBEsol; ΔE_f = 1.53 eV/f.u.; crystal system = tetragonal; space-group type = No. 99
1.0
2.9290 0.0261 0.0000
-0.0252 2.9290 0.0000
0.0000 0.0000 9.2718
Mo In Hg
1 1 2
direct
0.5000 0.5000 0.2488
0.0000 0.0000 0.4735
0.0000 0.0000 0.0262
0.5000 0.5000 0.7515

=====

| no. | theoretical density (g/cm3) | total DFT energy (no corrections) (eV/atom) | magnetic moment (μB per formula unit) |
| --- | --- | --- | --- |
| 1 | 9.7 | -2.442 | 3.3 |
| 2 | 11.3 | -3.275 | 3.5 |
| 3 | 11.7 | -6.384 | 0.0 |
| 4 | 11.0 | -6.449 | 0.0 |
| 5 | 11.8 | -6.369 | 0.0 |
| 6 | 12.1 | -6.288 | 0.0 |
| 7 | 13.2 | -3.635 | 0.0 |
| 8 | 12.8 | -3.589 | 0.0 |